<i>
Computed, not measured: crystalline Mg5TlAu at its relaxed geometry at the GGA-PBE level of DFT.

The calculated volume is 23.753 Å³/atom.

It has space group C2/c (No. 15), with a = 10.101 Å, b = 7.024 Å, c = 10.354 Å, α = 90.00°, β = 115.12° and γ = 90.00°. The asymmetric unit holds Mg at (0.000, 0.182, 0.250), Mg at (0.118, 0.120, 0.990), Mg at (0.237, 0.105, 0.758), Tl at (0.000, 0.399, 0.750) and Au at (0.250, 0.250, 0.500).

---

<ii>
Computed, not measured: crystalline Mg5TlAu at its relaxed geometry at the GGA-PBE level of DFT.

The calculated volume is 22.451 Å³/atom.

It has space group P4/mmm (No. 123), with a = 4.720 Å, b = 4.720 Å, c = 7.053 Å, α = 90.00°, β = 90.00° and γ = 90.00°. The asymmetric unit holds Mg at (0.000, 0.000, 0.000), Mg at (0.000, 0.500, 0.292), Tl at (0.500, 0.500, 0.000) and Au at (0.000, 0.000, 0.500).

---

<ii> has the most favorable energy; the next structure is 17.5 kJ/mol of atoms above.

---

<i>
Computed, not measured: crystalline Mg3TlAu at its relaxed geometry at the GGA-PBE level of DFT.

The calculated volume is 27.300 Å³/atom.

It has space group Pm-3m (No. 221), with a = 5.149 Å, b = 5.149 Å, c = 5.149 Å, α = 90.00°, β = 90.00° and γ = 90.00°. The asymmetric unit holds Mg at (0.000, 0.000, 0.500), Tl at (0.500, 0.500, 0.500) and Au at (0.000, 0.000, 0.000).

---

<ii>
Computed, not measured: crystalline Mg3TlAu at its relaxed geometry at the GGA-PBE level of DFT.

The calculated volume is 22.250 Å³/atom.

It has space group P2_1/c (No. 14), with a = 8.372 Å, b = 7.731 Å, c = 7.576 Å, α = 90.00°, β = 114.84° and γ = 90.00°. The asymmetric unit holds Mg at (0.023, 0.017, 0.308), Mg at (0.261, 0.108, 0.085), Mg at (0.369, 0.708, 0.926), Tl at (0.369, 0.047, 0.733) and Au at (0.093, 0.709, 0.542).

---

<ii> has the most favorable energy; the next structure is 9.2 kJ/mol of atoms above.